{"formula": "Dy4IrPb", "functional": "PBE", "state": "optimized geometry", "cell": [[-2.094, 0.129, 5.705], [4.604, -7.240, -0.850], [4.315, 6.866, -0.458]], "species": ["Ir", "Ir", "Dy", "Dy", "Dy", "Dy", "Dy", "Dy", "Dy", "Dy", "Pb", "Pb"], "fractional_positions": [[0.251, 0.001, 0.001], [0.749, 0.999, 0.999], [0.374, 0.942, 0.662], [0.788, 0.720, 0.662], [0.694, 0.352, 0.141], [0.212, 0.280, 0.338], [0.306, 0.648, 0.859], [0.947, 0.790, 0.141], [0.626, 0.058, 0.338], [0.053, 0.210, 0.859], [0.379, 0.629, 0.258], [0.621, 0.371, 0.742]], "e_form_kj_per_mol_fu": -322, "m_tot_mub_per_fu": 0.00, "space_group": "C2/c", "dos_at_fermi_per_ev_atom": 0.86, "density_g_cm3": 10.27}